Here is a relaxed Be2VZn2 crystal from Alexandria. Energies are from GGA-PBE.

## Properties
calculated volume: 11.69 Å³/atom
total moment: 0.574 μB/cell
E: -3.681 eV/atom

a b c (Å): 6.874 6.874 2.474
angles (deg): 90.00 90.00 90.00
Positions (direct):
Be 0.172 0.328 0.000
Be 0.328 0.828 0.000
Be 0.672 0.172 0.000
Be 0.828 0.672 0.000
V 0.000 0.000 0.500
V 0.500 0.500 0.500
Zn 0.130 0.630 0.500
Zn 0.370 0.130 0.500
Zn 0.630 0.870 0.500
Zn 0.870 0.370 0.500

***

Here is a relaxed BeV2Zn crystal from Alexandria. Energies are from GGA-PBE.

## Properties
calculated volume: 12.46 Å³/atom
total moment: 0.101 μB/cell
E: -5.619 eV/atom

a b c (Å): 4.131 4.131 4.131
angles (deg): 60.00 60.00 60.00
Positions (direct):
Be 0.000 0.000 0.000
V 0.250 0.250 0.250
V 0.750 0.750 0.750
Zn 0.500 0.500 0.500

***

Here is a relaxed Be2V2Zn crystal from Alexandria. Energies are from GGA-PBE.

## Properties
calculated volume: 11.36 Å³/atom
total moment: 0.000 μB/cell
E: -5.402 eV/atom

a b c (Å): 5.857 5.857 3.312
angles (deg): 90.00 90.00 90.00
Positions (direct):
Be 0.123 0.377 0.000
Be 0.377 0.877 0.000
Be 0.623 0.123 0.000
Be 0.877 0.623 0.000
V 0.172 0.672 0.500
V 0.328 0.172 0.500
V 0.672 0.828 0.500
V 0.828 0.328 0.500
Zn 0.000 0.000 0.000
Zn 0.500 0.500 0.000

***

Here is a relaxed BeV2Zn crystal from Alexandria. Energies are from GGA-PBE.

## Properties
calculated volume: 12.17 Å³/atom
total moment: 0.000 μB/cell
E: -5.876 eV/atom

a b c (Å): 2.544 2.544 7.520
angles (deg): 90.00 90.00 90.00
Positions (direct):
Be 0.000 0.000 0.000
V 0.500 0.500 0.221
V 0.500 0.500 0.779
Zn 0.000 0.000 0.500

***

Here is a relaxed BeV2Zn crystal from Alexandria. Energies are from GGA-PBE.

## Properties
calculated volume: 13.36 Å³/atom
total moment: 0.000 μB/cell
E: -5.233 eV/atom

a b c (Å): 9.491 9.491 9.491
angles (deg): 159.29 159.29 29.45
Positions (direct):
Be 0.000 0.000 0.000
Be 0.750 0.250 0.500
V 0.118 0.625 0.993
V 0.375 0.368 0.493
V 0.632 0.125 0.007
V 0.875 0.882 0.507
Zn 0.250 0.750 0.500
Zn 0.500 0.500 0.000

***

Here is a relaxed Be2VZn2 crystal from Alexandria. Energies are from GGA-PBE.

## Properties
calculated volume: 11.53 Å³/atom
total moment: 1.389 μB/cell
E: -3.713 eV/atom

a b c (Å): 6.770 6.770 2.516
angles (deg): 90.00 90.00 90.00
Positions (direct):
Be 0.123 0.377 0.000
Be 0.377 0.877 0.000
Be 0.623 0.123 0.000
Be 0.877 0.623 0.000
V 0.000 0.000 0.000
V 0.500 0.500 0.000
Zn 0.174 0.674 0.500
Zn 0.326 0.174 0.500
Zn 0.674 0.826 0.500
Zn 0.826 0.326 0.500